## ZnRh5 (GGA-PBE)

Data for a relaxed ZnRh5 crystal.

ΔE_f = -0.044 eV per atom
DOS(E_F) = 10.74 states/eV/f.u.
total moment = 0.00 μB/cell

Cell: 4.382 2.753 14.108 Å, 90.00 90.00 90.00°
Space group Amm2 (No. 38)
Symmetry-distinct sites (fractional):
Zn 0.000 0.000 0.000
Rh 0.000 0.000 0.335
Rh 0.000 0.000 0.665
Rh 0.500 0.000 0.111
Rh 0.500 0.000 0.446
Rh 0.500 0.000 0.780



## CaLa8Ho2 (GGA-PBE)

Data for a relaxed CaLa8Ho2 crystal.

ΔE_f = 0.032 eV per atom
DOS(E_F) = 18.30 states/eV/f.u.
total moment = 0.00 μB/cell

Cell: 18.882 5.273 8.286 Å, 90.00 104.93 90.00°
Space group C2/m (No. 12)
Symmetry-distinct sites (fractional):
Ca 0.000 0.000 0.000
La 0.048 0.500 0.717
La 0.094 0.000 0.462
La 0.142 0.500 0.194
La 0.184 0.000 0.911
Ho 0.227 0.500 0.635



## NaLuPb (GGA-PBE)

Data for a relaxed NaLuPb crystal.

ΔE_f = -0.118 eV per atom
energy above the most stable polymorph in this dataset = 0 meV/atom
total moment = 0.00 μB/cell

Cell: 7.256 7.256 7.256 Å, 90.00 90.00 90.00°
Space group F-43m (No. 216)
Symmetry-distinct sites (fractional):
Na 0.000 0.000 0.000
Lu 0.000 0.000 0.500
Pb 0.250 0.250 0.250



## Li2Nd3Al7 (GGA-PBE)

Data for a relaxed Li2Nd3Al7 crystal.

ΔE_f = -0.411 eV per atom
DOS(E_F) = 6.84 states/eV/f.u.
total moment = 0.00 μB/cell

Cell: 5.6497 5.6497 26.5253 Å, 90.00 90.00 120.00°
Space group R-3m (No. 166, hexagonal axes)
Symmetry-distinct sites (fractional):
Li 0.0000 0.0000 0.1648
Nd 0.0000 0.0000 0.3597
Nd 0.0000 0.0000 0.5000
Al 0.0000 0.0000 0.0000
Al 0.0061 0.5030 0.4183



The highest ΔE_f belongs to which entry? CaLa8Ho2